# LiHfZnCu PBE-GGA optimized geometry
# Excess energy over the best structure of this formula in the dataset, meV/atom: 120.3
# Density, Mg/m³: 8.91
# Magnetic moment, Bohr magnetons per cell: 0.00
data_LiHfZnCu
_space_group_name_H-M_alt 'F -4 3 m'
_space_group_IT_number 216
_space_group_name_Hall 'F -4 2 3'
_cell_length_a 6.1663
_cell_length_b 6.1663
_cell_length_c 6.1663
_cell_angle_alpha 90.00
_cell_angle_beta 90.00
_cell_angle_gamma 90.00
loop_
_atom_site_label
_atom_site_type_symbol
_atom_site_fract_x
_atom_site_fract_y
_atom_site_fract_z
Li1 Li 0.0000 0.0000 0.0000
Hf1 Hf 0.2500 0.2500 0.2500
Zn1 Zn 0.0000 0.0000 0.5000
Cu1 Cu 0.2500 0.2500 0.7500


# Y3In3Ni2Pd PBE-GGA optimized geometry
# Raw total energy, eV/cell: -49.34
# Density, Mg/m³: 7.35
# Magnetic moment, Bohr magnetons per cell: 0.01
data_Y3In3Ni2Pd
_space_group_name_H-M_alt 'P -6 2 m'
_space_group_IT_number 189
_space_group_name_Hall 'P -6 -2'
_cell_length_a 7.5242
_cell_length_b 7.5242
_cell_length_c 3.8467
_cell_angle_alpha 90.00
_cell_angle_beta 90.00
_cell_angle_gamma 120.00
loop_
_atom_site_label
_atom_site_type_symbol
_atom_site_fract_x
_atom_site_fract_y
_atom_site_fract_z
Y1 Y 0.0000 0.5903 0.0000
In1 In 0.0000 0.2663 0.5000
Ni1 Ni 0.3333 0.6667 0.5000
Pd1 Pd 0.0000 0.0000 0.0000


# TaGaFeRe PBE-GGA optimized geometry
# Excess energy over the best structure of this formula in the dataset, meV/atom: 0.0
# Density, Mg/m³: 14.10
# Magnetic moment, Bohr magnetons per cell: 3.52
data_TaGaFeRe
_space_group_name_H-M_alt 'F -4 3 m'
_space_group_IT_number 216
_space_group_name_Hall 'F -4 2 3'
_cell_length_a 6.1462
_cell_length_b 6.1462
_cell_length_c 6.1462
_cell_angle_alpha 90.00
_cell_angle_beta 90.00
_cell_angle_gamma 90.00
loop_
_atom_site_label
_atom_site_type_symbol
_atom_site_fract_x
_atom_site_fract_y
_atom_site_fract_z
Ta1 Ta 0.0000 0.0000 0.0000
Ga1 Ga 0.0000 0.0000 0.5000
Fe1 Fe 0.2500 0.2500 0.7500
Re1 Re 0.2500 0.2500 0.2500


# LaSnHg PBE-GGA optimized geometry
# Raw total energy, eV/cell: -42.83
# Density, Mg/m³: 8.19
# Magnetic moment, Bohr magnetons per cell: 0.00
data_LaSnHg
_space_group_name_H-M_alt 'F -4 3 m'
_space_group_IT_number 216
_space_group_name_Hall 'F -4 2 3'
_cell_length_a 7.1884
_cell_length_b 7.1884
_cell_length_c 7.1884
_cell_angle_alpha 90.00
_cell_angle_beta 90.00
_cell_angle_gamma 90.00
loop_
_atom_site_label
_atom_site_type_symbol
_atom_site_fract_x
_atom_site_fract_y
_atom_site_fract_z
La1 La 0.0000 0.0000 0.0000
Sn1 Sn 0.0000 0.0000 0.5000
Hg1 Hg 0.2500 0.2500 0.2500


# SmDyHo2Al2 PBE-GGA optimized geometry
# Raw total energy, eV/cell: -27.57
# Density, Mg/m³: 7.29
# Magnetic moment, Bohr magnetons per cell: 0.02
data_SmDyHo2Al2
_space_group_name_H-M_alt 'P -6 m 2'
_space_group_IT_number 187
_space_group_name_Hall 'P -6 2'
_cell_length_a 5.2429
_cell_length_b 5.2429
_cell_length_c 6.6617
_cell_angle_alpha 90.00
_cell_angle_beta 90.00
_cell_angle_gamma 120.00
loop_
_atom_site_label
_atom_site_type_symbol
_atom_site_fract_x
_atom_site_fract_y
_atom_site_fract_z
Sm1 Sm 0.0000 0.0000 0.0000
Dy1 Dy 0.6667 0.3333 0.5000
Ho1 Ho 0.3333 0.6667 0.2530
Al1 Al 0.0000 0.0000 0.5000
Al2 Al 0.6667 0.3333 0.0000


# BeBiMoAs PBE-GGA optimized geometry
# Excess energy over the best structure of this formula in the dataset, meV/atom: 0.0
# Density, Mg/m³: 9.06
# Magnetic moment, Bohr magnetons per cell: 0.21
data_BeBiMoAs
_space_group_name_H-M_alt 'F -4 3 m'
_space_group_IT_number 216
_space_group_name_Hall 'F -4 2 3'
_cell_length_a 6.5825
_cell_length_b 6.5825
_cell_length_c 6.5825
_cell_angle_alpha 90.00
_cell_angle_beta 90.00
_cell_angle_gamma 90.00
loop_
_atom_site_label
_atom_site_type_symbol
_atom_site_fract_x
_atom_site_fract_y
_atom_site_fract_z
Be1 Be 0.0000 0.0000 0.0000
Bi1 Bi 0.2500 0.2500 0.2500
Mo1 Mo 0.0000 0.0000 0.5000
As1 As 0.2500 0.2500 0.7500


# ScGa2Tc PBE-GGA optimized geometry
# Raw total energy, eV/cell: -92.50
# Density, Mg/m³: 7.26
# Magnetic moment, Bohr magnetons per cell: 0.00
data_ScGa2Tc
_space_group_name_H-M_alt 'F -4 3 m'
_space_group_IT_number 216
_space_group_name_Hall 'F -4 2 3'
_cell_length_a 6.3706
_cell_length_b 6.3706
_cell_length_c 6.3706
_cell_angle_alpha 90.00
_cell_angle_beta 90.00
_cell_angle_gamma 90.00
loop_
_atom_site_label
_atom_site_type_symbol
_atom_site_fract_x
_atom_site_fract_y
_atom_site_fract_z
Sc1 Sc 0.0000 0.0000 0.0000
Ga1 Ga 0.0000 0.0000 0.5000
Ga2 Ga 0.2500 0.2500 0.2500
Tc1 Tc 0.2500 0.2500 0.7500


# Ga10Tc3 PBE-GGA optimized geometry
# Raw total energy, eV/cell: -125.87
# Density, Mg/m³: 7.72
# Magnetic moment, Bohr magnetons per cell: 0.01
data_Ga10Tc3
_space_group_name_H-M_alt 'P 63/m m c'
_space_group_IT_number 194
_space_group_name_Hall '-P 6c 2c'
_cell_length_a 7.8106
_cell_length_b 7.8106
_cell_length_c 8.0715
_cell_angle_alpha 90.00
_cell_angle_beta 90.00
_cell_angle_gamma 120.00
loop_
_atom_site_label
_atom_site_type_symbol
_atom_site_fract_x
_atom_site_fract_y
_atom_site_fract_z
Ga1 Ga 0.0000 0.0000 0.0000
Ga2 Ga 0.0753 0.5377 0.2500
Ga3 Ga 0.2019 0.4039 0.5620
Tc1 Tc 0.1267 0.2535 0.2500


# YRe2Si PBE-GGA optimized geometry
# Raw total energy, eV/cell: -141.77
# Density, Mg/m³: 12.11
# Magnetic moment, Bohr magnetons per cell: 0.00
data_YRe2Si
_space_group_name_H-M_alt 'F -4 3 m'
_space_group_IT_number 216
_space_group_name_Hall 'F -4 2 3'
_cell_length_a 6.4499
_cell_length_b 6.4499
_cell_length_c 6.4499
_cell_angle_alpha 90.00
_cell_angle_beta 90.00
_cell_angle_gamma 90.00
loop_
_atom_site_label
_atom_site_type_symbol
_atom_site_fract_x
_atom_site_fract_y
_atom_site_fract_z
Y1 Y 0.0000 0.0000 0.0000
Re1 Re 0.0000 0.0000 0.5000
Re2 Re 0.2500 0.2500 0.2500
Si1 Si 0.2500 0.2500 0.7500


# SbAu15 PBE-GGA optimized geometry
# Excess energy over the best structure of this formula in the dataset, meV/atom: 30.8
# Density, Mg/m³: 12.26
data_SbAu15
_space_group_name_H-M_alt 'P 1 21/m 1'
_space_group_IT_number 11
_cell_length_a 8.0724
_cell_length_b 2.9122
_cell_length_c 35.4378
_cell_angle_alpha 90.00
_cell_angle_beta 90.03
_cell_angle_gamma 90.00
loop_
_space_group_symop_operation_xyz
'x,y,z'
'-x,-y,-z'
'-x,y+1/2,-z'
'x,-y+1/2,z'
loop_
_atom_site_label
_atom_site_type_symbol
_atom_site_fract_x
_atom_site_fract_y
_atom_site_fract_z
Sb1 Sb 0.1263 0.2500 0.1714
Au1 Au 0.1129 0.2500 0.7829
Au2 Au 0.1241 0.2500 0.2647
Au3 Au 0.1254 0.2500 0.3502
Au4 Au 0.1250 0.2500 0.4361
Au5 Au 0.1249 0.2500 0.5213
Au6 Au 0.1247 0.2500 0.6069
Au7 Au 0.1261 0.2500 0.6931
Au8 Au 0.3634 0.7500 0.2177
Au9 Au 0.3742 0.7500 0.7359
Au10 Au 0.3752 0.7500 0.3932
Au11 Au 0.3750 0.7500 0.4786
Au12 Au 0.3746 0.7500 0.5638
Au13 Au 0.3751 0.7500 0.6495
Au14 Au 0.3754 0.7500 0.8179
Au15 Au 0.3764 0.7500 0.3067


# LuTa2In PBE-GGA optimized geometry
# Raw total energy, eV/cell: -120.90
# Density, Mg/m³: 13.11
# Magnetic moment, Bohr magnetons per cell: 0.00
data_LuTa2In
_space_group_name_H-M_alt 'F -4 3 m'
_space_group_IT_number 216
_space_group_name_Hall 'F -4 2 3'
_cell_length_a 6.9113
_cell_length_b 6.9113
_cell_length_c 6.9113
_cell_angle_alpha 90.00
_cell_angle_beta 90.00
_cell_angle_gamma 90.00
loop_
_atom_site_label
_atom_site_type_symbol
_atom_site_fract_x
_atom_site_fract_y
_atom_site_fract_z
Lu1 Lu 0.0000 0.0000 0.0000
Ta1 Ta 0.0000 0.0000 0.5000
Ta2 Ta 0.2500 0.2500 0.2500
In1 In 0.2500 0.2500 0.7500


Which value of density does entry 11 give? 13.11 Mg/m³


density of number 11 (LuTa2In)? 13.11 Mg/m³